# 1
First-principles (PBE) data for an optimized crystal structure of KRh3Pb, as listed in Alexandria via LeMat-Bulk.

a b c (Å): 5.117 5.117 5.117
angles (deg): 90.00 90.00 90.00
Each line ends with the local moment (μB).
Fractional positions:
Pb (0.000, 0.000, 0.000)  -0.02
K (0.500, 0.500, 0.500)  0.00
Rh (0.000, 0.500, 0.000)  0.46
Rh (0.000, 0.000, 0.500)  0.62
Rh (0.500, 0.000, 0.000)  0.32

Computed properties:
* excess energy over the best structure of this formula in the dataset: 0 meV per atom
* crystal system: cubic
* SG: No. 221
* E: -4.34 eV per atom
* density of states at the Fermi level: 6.224 states/eV/cell

=====

# 2
First-principles (PBE) data for an optimized crystal structure of KSrRhPb2, as listed in Alexandria via LeMat-Bulk.

a b c (Å): 5.455 5.455 5.626
angles (deg): 90.00 90.00 90.00
Fractional positions:
Pb (0.000, 0.500, 0.000)
Pb (0.500, 0.000, 0.000)
Sr (0.000, 0.000, 0.500)
K (0.500, 0.500, 0.500)
Rh (0.000, 0.000, 0.000)

Computed properties:
* crystal system: tetragonal
* SG: No. 123
* E: -3.67 eV per atom
* density of states at the Fermi level: 4.385 states/eV/cell

=====

# 3
First-principles (PBE) data for an optimized crystal structure of KSr2RhPb, as listed in Alexandria via LeMat-Bulk.

a b c (Å): 5.921 5.921 5.374
angles (deg): 90.00 90.00 90.00
Fractional positions:
Pb (0.000, 0.000, 0.500)
Sr (0.000, 0.500, 0.000)
Sr (0.500, 0.000, 0.000)
K (0.500, 0.500, 0.500)
Rh (0.000, 0.000, 0.000)

Computed properties:
* crystal system: tetragonal
* SG: No. 123
* E: -3.32 eV per atom
* density of states at the Fermi level: 3.973 states/eV/cell